Arrangement a

Rb2NaSr after structural relaxation. Source: Alexandria via LeMat-Bulk, functional GGA-PBE.

Values from the calculation:
D(E_F) in states/eV per cell: 3.5
SG: P4/mmm (123)

abc: 6.935 6.120 6.120
angles: 90.00 90.00 90.00
Atoms (fractional coordinates):
Sr: 0.500 0.000 0.000
Rb: 0.000 0.000 0.500
Rb: 0.000 0.500 0.000
Na: 0.500 0.500 0.500

Arrangement b

Rb2NaSr after structural relaxation. Source: Alexandria via LeMat-Bulk, functional GGA-PBE.

Values from the calculation:
D(E_F) in states/eV per cell: 4.0
SG: P4/mmm (123)

abc: 4.582 4.582 12.504
angles: 90.00 90.00 90.00
Atoms (fractional coordinates):
Sr: 0.500 0.500 0.500
Rb: 0.000 0.000 0.776
Rb: 0.000 0.000 0.224
Na: 0.500 0.500 0.000

Most stable structure - arrangement b; separation to the second - 16 meV/atom.

Arrangement a

Rb2NaSr after structural relaxation. Source: Alexandria via LeMat-Bulk, functional GGA-PBE.

Values from the calculation:
D(E_F) in states/eV per cell: 3.6
SG: Fm-3m (225)

abc: 7.256 7.256 7.256
angles: 60.00 60.00 60.00
Atoms (fractional coordinates):
Sr: 0.500 0.500 0.500
Rb: 0.250 0.250 0.250
Rb: 0.750 0.750 0.750
Na: 0.000 0.000 0.000

Arrangement b

Rb2NaSr after structural relaxation. Source: Alexandria via LeMat-Bulk, functional GGA-PBE.

Values from the calculation:
D(E_F) in states/eV per cell: 7.8
SG: I-42d (122)

abc: 11.470 11.470 9.114
angles: 51.01 51.01 90.00
Atoms (fractional coordinates):
Sr: 0.000 0.000 0.000
Sr: 0.750 0.250 0.500
Rb: 0.584 0.125 0.250
Rb: 0.166 0.625 0.250
Rb: 0.375 0.416 0.750
Rb: 0.875 0.834 0.750
Na: 0.500 0.500 0.000
Na: 0.250 0.750 0.500

Most stable structure - arrangement a; separation to the second - 41 meV/atom.

Arrangement a

Rb2NaSr2 after structural relaxation. Source: Alexandria via LeMat-Bulk, functional GGA-PBE.

Values from the calculation:
D(E_F) in states/eV per cell: 6.2
SG: I4/mmm (139)

abc: 5.441 5.441 12.256
angles: 77.18 77.18 90.00
Atoms (fractional coordinates):
Sr: 0.414 0.414 0.173
Sr: 0.586 0.586 0.827
Rb: 0.750 0.250 0.500
Rb: 0.250 0.750 0.500
Na: 0.000 0.000 0.000

Arrangement b

Rb2NaSr2 after structural relaxation. Source: Alexandria via LeMat-Bulk, functional GGA-PBE.

Values from the calculation:
D(E_F) in states/eV per cell: 4.9
SG: I4/mmm (139)

abc: 5.499 5.499 12.550
angles: 77.35 77.35 90.00
Atoms (fractional coordinates):
Sr: 0.750 0.250 0.500
Sr: 0.250 0.750 0.500
Rb: 0.406 0.406 0.187
Rb: 0.594 0.594 0.813
Na: 0.000 0.000 0.000

Most stable structure - arrangement b; separation to the second - 68 meV/atom.

Arrangement a

Rb2NaSr2 after structural relaxation. Source: Alexandria via LeMat-Bulk, functional GGA-PBE.

Values from the calculation:
D(E_F) in states/eV per cell: 14.0
SG: P4/mbm (127)

abc: 9.688 9.688 7.366
angles: 90.00 90.00 90.00
Atoms (fractional coordinates):
Sr: 0.349 0.849 0.000
Sr: 0.849 0.651 0.000
Sr: 0.651 0.151 0.000
Sr: 0.151 0.349 0.000
Rb: 0.168 0.668 0.500
Rb: 0.668 0.832 0.500
Rb: 0.832 0.332 0.500
Rb: 0.332 0.168 0.500
Na: 0.000 0.000 0.000
Na: 0.500 0.500 0.000

Arrangement b

Rb2NaSr2 after structural relaxation. Source: Alexandria via LeMat-Bulk, functional GGA-PBE.

Values from the calculation:
D(E_F) in states/eV per cell: 9.6
SG: P4/mbm (127)

abc: 9.522 9.522 7.154
angles: 90.00 90.00 90.00
Atoms (fractional coordinates):
Sr: 0.172 0.672 0.500
Sr: 0.672 0.828 0.500
Sr: 0.828 0.328 0.500
Sr: 0.328 0.172 0.500
Rb: 0.358 0.858 0.000
Rb: 0.858 0.642 0.000
Rb: 0.642 0.142 0.000
Rb: 0.142 0.358 0.000
Na: 0.000 0.000 0.000
Na: 0.500 0.500 0.000

Most stable structure - arrangement a; separation to the second - 37 meV/atom.

Arrangement a

RbNaSr3 after structural relaxation. Source: Alexandria via LeMat-Bulk, functional GGA-PBE.

Values from the calculation:
D(E_F) in states/eV per cell: 4.6
SG: Pm-3m (221)

abc: 6.829 6.829 6.829
angles: 90.00 90.00 90.00
Atoms (fractional coordinates):
Sr: 0.000 0.500 0.000
Sr: 0.000 0.000 0.500
Sr: 0.500 0.000 0.000
Rb: 0.500 0.500 0.500
Na: 0.000 0.000 0.000

Arrangement b

RbNaSr3 after structural relaxation. Source: Alexandria via LeMat-Bulk, functional GGA-PBE.

Values from the calculation:
D(E_F) in states/eV per cell: 5.3
SG: Pm-3m (221)

abc: 7.374 7.374 7.374
angles: 90.00 90.00 90.00
Atoms (fractional coordinates):
Sr: 0.000 0.500 0.000
Sr: 0.000 0.000 0.500
Sr: 0.500 0.000 0.000
Rb: 0.000 0.000 0.000
Na: 0.500 0.500 0.500

Most stable structure - arrangement a; separation to the second - 463 meV/atom.

Arrangement a

RbNaSr after structural relaxation. Source: Alexandria via LeMat-Bulk, functional GGA-PBE.

Values from the calculation:
D(E_F) in states/eV per cell: 5.5
SG: Amm2 (38)

abc: 4.416 4.383 21.025
angles: 90.00 90.00 120.25
Atoms (fractional coordinates):
Na: 0.609 0.218 0.000
Na: 0.283 0.566 0.500
Sr: 0.618 0.237 0.356
Sr: 0.618 0.237 0.644
Rb: 0.269 0.538 0.833
Rb: 0.269 0.538 0.167

Arrangement b

RbNaSr after structural relaxation. Source: Alexandria via LeMat-Bulk, functional GGA-PBE.

Values from the calculation:
D(E_F) in states/eV per cell: 6.0
SG: C2/m (12)

abc: 4.382 4.383 21.426
angles: 90.02 90.03 60.03
Atoms (fractional coordinates):
Rb: 0.787 0.115 0.823
Rb: 0.789 0.115 0.608
Na: 0.120 0.449 0.989
Na: 0.455 0.781 0.443
Sr: 0.455 0.782 0.136
Sr: 0.121 0.448 0.296

Arrangement c

RbNaSr after structural relaxation. Source: Alexandria via LeMat-Bulk, functional GGA-PBE.

Values from the calculation:
D(E_F) in states/eV per cell: 2.4
SG: I4mm (107)

abc: 4.438 4.438 9.401
angles: 103.65 103.65 90.00
Atoms (fractional coordinates):
Sr: 0.311 0.311 0.622
Rb: 0.013 0.013 0.026
Na: 0.676 0.676 0.352

Most stable structure - arrangement b; separation to the second - 12 meV/atom.

Arrangement a

RbNaTa3 after structural relaxation. Source: Alexandria via LeMat-Bulk, functional GGA-PBE.

Values from the calculation:
D(E_F) in states/eV per cell: 8.4
SG: Pm-3m (221)

abc: 4.918 4.918 4.918
angles: 90.00 90.00 90.00
Atoms (fractional coordinates):
Na: 0.500 0.500 0.500
Rb: 0.000 0.000 0.000
Ta: 0.000 0.500 0.000
Ta: 0.000 0.000 0.500
Ta: 0.500 0.000 0.000

Arrangement b

RbNaTa3 after structural relaxation. Source: Alexandria via LeMat-Bulk, functional GGA-PBE.

Values from the calculation:
D(E_F) in states/eV per cell: 3.7
SG: Pm-3m (221)

abc: 5.002 5.002 5.002
angles: 90.00 90.00 90.00
Atoms (fractional coordinates):
Na: 0.000 0.000 0.000
Rb: 0.500 0.500 0.500
Ta: 0.000 0.500 0.000
Ta: 0.000 0.000 0.500
Ta: 0.500 0.000 0.000

Most stable structure - arrangement b; separation to the second - 385 meV/atom.

Arrangement a

RbNa2Tc2 after structural relaxation. Source: Alexandria via LeMat-Bulk, functional GGA-PBE.

Values from the calculation:
D(E_F) in states/eV per cell: 8.3
SG: P4/mbm (127)

abc: 9.488 9.488 2.803
angles: 90.00 90.00 90.00
Atoms (fractional coordinates):
Na: 0.197 0.697 0.500
Na: 0.697 0.803 0.500
Na: 0.803 0.303 0.500
Na: 0.303 0.197 0.500
Tc: 0.418 0.918 0.000
Tc: 0.918 0.582 0.000
Tc: 0.582 0.082 0.000
Tc: 0.082 0.418 0.000
Rb: 0.000 0.000 0.000
Rb: 0.500 0.500 0.000

Arrangement b

RbNa2Tc2 after structural relaxation. Source: Alexandria via LeMat-Bulk, functional GGA-PBE.

Values from the calculation:
D(E_F) in states/eV per cell: 4.3
SG: I4/mmm (139)

abc: 5.749 5.749 6.343
angles: 63.05 63.05 90.00
Last column: magnetic moment on the atom in μB.
Atoms (fractional coordinates):
Na: 0.750 0.250 0.500  0.01
Na: 0.250 0.750 0.500  0.01
Tc: 0.395 0.395 0.211  0.92
Tc: 0.605 0.605 0.789  0.92
Rb: 0.000 0.000 0.000  0.00

Most stable structure - arrangement a; separation to the second - 297 meV/atom.

Arrangement a

RbNa3Tc after structural relaxation. Source: Alexandria via LeMat-Bulk, functional GGA-PBE.

Values from the calculation:
D(E_F) in states/eV per cell: 6.3
SG: Pm-3m (221)

abc: 6.103 6.103 6.103
angles: 90.00 90.00 90.00
Last column: magnetic moment on the atom in μB.
Atoms (fractional coordinates):
Na: 0.000 0.500 0.000  -0.02
Na: 0.000 0.000 0.500  -0.02
Na: 0.500 0.000 0.000  -0.02
Tc: 0.500 0.500 0.500  3.58
Rb: 0.000 0.000 0.000  -0.03

Arrangement b

RbNa3Tc after structural relaxation. Source: Alexandria via LeMat-Bulk, functional GGA-PBE.

Values from the calculation:
D(E_F) in states/eV per cell: 4.9
SG: Pm-3m (221)

abc: 6.071 6.071 6.071
angles: 90.00 90.00 90.00
Last column: magnetic moment on the atom in μB.
Atoms (fractional coordinates):
Na: 0.000 0.500 0.000  -0.01
Na: 0.000 0.000 0.500  -0.02
Na: 0.500 0.000 0.000  0.01
Tc: 0.000 0.000 0.000  2.81
Rb: 0.500 0.500 0.500  0.00

Most stable structure - arrangement b; separation to the second - 582 meV/atom.

Arrangement a

Rb2NaTe2 after structural relaxation. Source: Alexandria via LeMat-Bulk, functional GGA-PBE.

Values from the calculation:
D(E_F) in states/eV per cell: 1.8
SG: Immm (71)

abc: 5.090 7.029 7.029
angles: 63.98 68.77 68.77
Atoms (fractional coordinates):
Rb: 0.309 0.191 0.691
Rb: 0.691 0.809 0.309
Na: 0.500 0.500 0.000
Te: 0.000 0.249 0.251
Te: 0.000 0.751 0.749

Arrangement b

Rb2NaTe2 after structural relaxation. Source: Alexandria via LeMat-Bulk, functional GGA-PBE.

Values from the calculation:
D(E_F) in states/eV per cell: 1.9
SG: P4/mbm (127)

abc: 10.338 10.338 3.860
angles: 90.00 90.00 90.00
Atoms (fractional coordinates):
Na: 0.000 0.000 0.000
Na: 0.500 0.500 0.000
Te: 0.178 0.678 0.500
Te: 0.678 0.822 0.500
Te: 0.822 0.322 0.500
Te: 0.322 0.178 0.500
Rb: 0.379 0.879 0.000
Rb: 0.879 0.621 0.000
Rb: 0.621 0.121 0.000
Rb: 0.121 0.379 0.000

Arrangement c

Rb2NaTe2 after structural relaxation. Source: Alexandria via LeMat-Bulk, functional GGA-PBE.

Values from the calculation:
D(E_F) in states/eV per cell: 0.8
SG: P4/mbm (127)

abc: 8.746 8.746 5.424
angles: 90.00 90.00 90.00
Last column: magnetic moment on the atom in μB.
Atoms (fractional coordinates):
Na: 0.000 0.000 0.000  0.00
Na: 0.500 0.500 0.000  0.00
Te: 0.353 0.853 0.000  0.25
Te: 0.853 0.647 0.000  0.25
Te: 0.647 0.147 0.000  0.25
Te: 0.147 0.353 0.000  0.25
Rb: 0.153 0.653 0.500  0.01
Rb: 0.653 0.847 0.500  0.01
Rb: 0.847 0.347 0.500  0.01
Rb: 0.347 0.153 0.500  0.01

Most stable structure - arrangement a; separation to the second - 107 meV/atom.

Arrangement a

RbNa3Te after structural relaxation. Source: Alexandria via LeMat-Bulk, functional GGA-PBE.

Values from the calculation:
D(E_F) in states/eV per cell: 1.3
SG: Pm-3m (221)

abc: 6.183 6.183 6.183
angles: 90.00 90.00 90.00
Atoms (fractional coordinates):
Na: 0.000 0.500 0.000
Na: 0.000 0.000 0.500
Na: 0.500 0.000 0.000
Te: 0.000 0.000 0.000
Rb: 0.500 0.500 0.500

Arrangement b

RbNa3Te after structural relaxation. Source: Alexandria via LeMat-Bulk, functional GGA-PBE.

Values from the calculation:
D(E_F) in states/eV per cell: 0.2
SG: Pm-3m (221)

abc: 6.216 6.216 6.216
angles: 90.00 90.00 90.00
Atoms (fractional coordinates):
Na: 0.000 0.500 0.000
Na: 0.000 0.000 0.500
Na: 0.500 0.000 0.000
Te: 0.500 0.500 0.500
Rb: 0.000 0.000 0.000

Most stable structure - arrangement a; separation to the second - 740 meV/atom.

Arrangement a

RbNaTi2 after structural relaxation. Source: Alexandria via LeMat-Bulk, functional GGA-PBE.

Values from the calculation:
D(E_F) in states/eV per cell: 10.6
SG: I-42d (122)

abc: 4.144 4.144 13.154
angles: 80.94 80.94 90.00
Last column: magnetic moment on the atom in μB.
Atoms (fractional coordinates):
Na: 0.500 0.500 0.000  0.00
Na: 0.250 0.750 0.500  0.00
Rb: 0.000 0.000 0.000  0.01
Rb: 0.750 0.250 0.500  0.01
Ti: 0.602 0.125 0.250  0.96
Ti: 0.148 0.625 0.250  0.96
Ti: 0.375 0.398 0.750  0.95
Ti: 0.875 0.852 0.750  0.95

Arrangement b

RbNaTi2 after structural relaxation. Source: Alexandria via LeMat-Bulk, functional GGA-PBE.

Values from the calculation:
D(E_F) in states/eV per cell: 12.0
SG: Fm-3m (225)

abc: 5.601 5.601 5.601
angles: 60.00 60.00 60.00
Last column: magnetic moment on the atom in μB.
Atoms (fractional coordinates):
Na: 0.000 0.000 0.000  0.00
Rb: 0.500 0.500 0.500  0.06
Ti: 0.250 0.250 0.250  1.81
Ti: 0.750 0.750 0.750  1.81

Most stable structure - arrangement a; separation to the second - 349 meV/atom.